Record 1
A plane-wave DFT calculation with PBE was carried out for a relaxed structure of La2VTcTe.

Output
Formation energy from raw total energies in eV/f.u.: 3.4

```
La2VTcTe
1.0
5.363 0.000 0.000
0.000 5.363 0.000
0.000 0.000 4.935
La V Tc Te
2 1 1 1
Direct
0.000 0.500 0.000
0.500 0.000 0.000
0.000 0.000 0.000
0.500 0.500 0.500
0.000 0.000 0.500
```

Record 2
A plane-wave DFT calculation with PBE was carried out for a relaxed structure of La2ThTc.

Output
ΔH_f (0 K) in kJ per mole of atoms: -8.7

```
La2ThTc
1.0
7.377 0.000 0.000
0.000 10.164 0.000
0.000 0.000 6.553
La Th Tc
8 4 4
Direct
0.171 0.067 0.175
0.171 0.433 0.175
0.329 0.567 0.675
0.329 0.933 0.675
0.671 0.067 0.325
0.671 0.433 0.325
0.829 0.567 0.825
0.829 0.933 0.825
0.057 0.250 0.662
0.443 0.750 0.162
0.557 0.250 0.838
0.943 0.750 0.338
0.128 0.750 0.985
0.372 0.250 0.485
0.628 0.750 0.515
0.872 0.250 0.015
```